First-principles (PBE+U) data for a geometry-optimized FeSe2F structure, as listed in Alexandria.

Structure (CIF):
```
data_FeSe2F
_cell_length_a 4.106
_cell_length_b 4.106
_cell_length_c 18.700
_cell_angle_alpha 90.00
_cell_angle_beta 90.00
_cell_angle_gamma 90.00
_space_group_name_H-M_alt 'I -4 2 d'
_space_group_IT_number 122
_space_group_name_Hall 'I -4 2bw'
loop_
_atom_site_label
_atom_site_type_symbol
_atom_site_fract_x
_atom_site_fract_y
_atom_site_fract_z
Fe1 Fe 0.000 0.000 0.000
Se1 Se 0.165 0.250 0.125
F1 F 0.000 0.000 0.500
```

Its total magnetization is 3.77 μB/f.u. As for the volume: 19.7 Å³ per atom. The distance to the lowest polymorph of the same formula comes out at 119.8 meV/atom.